Entry 1:
## ErNpH2 (PBE)

Data for ErNpH2 after structural relaxation.

calculated total energy = -0.4580 Ry/atom

Cell lengths 6.3326, 6.3326, 6.3326 Å; angles 31.67, 31.67, 31.67 degrees
With the nearest neighbours (Å) after each atom.
Fractional positions:
Er: 0.0000 0.0000 0.0000  6 H 2.14
Np: 0.5000 0.5000 0.5000  2 H 2.22
H: 0.3766 0.3766 0.3766  3 Er 2.14, 1 Np 2.22
H: 0.6234 0.6234 0.6234  3 Er 2.14, 1 Np 2.22

Entry 2:
## Er2HO3 (PBE)

Data for Er2HO3 after structural relaxation.

calculated total energy = -0.5230 Ry/atom

Cell lengths 8.7464, 3.3004, 9.0260 Å; angles 90.00, 90.00, 90.00 degrees
With the nearest neighbours (Å) after each atom.
Fractional positions:
Er: 0.0111 0.2500 0.1773  7 O 2.24-2.46, 2 H 2.37
Er: 0.1827 0.2500 0.4943  1 H 2.07, 1 O 2.26
Er: 0.3173 0.7500 0.9943  1 H 2.07, 1 O 2.26
Er: 0.4889 0.7500 0.6773  7 O 2.24-2.46, 2 H 2.37
Er: 0.5111 0.2500 0.3227  7 O 2.24-2.46, 2 H 2.37
Er: 0.6827 0.2500 0.0057  1 H 2.07, 1 O 2.26
Er: 0.8173 0.7500 0.5057  1 H 2.07, 1 O 2.26
Er: 0.9889 0.7500 0.8227  7 O 2.24-2.46, 2 H 2.37
H: 0.2045 0.7500 0.1965  2 O 1.74
H: 0.2955 0.2500 0.6965  2 O 1.74
H: 0.7045 0.7500 0.3035  2 O 1.74
H: 0.7955 0.2500 0.8035  2 O 1.74
O: 0.0391 0.7500 0.3769  1 H 2.18, 3 Er 2.26-2.33
O: 0.1220 0.2500 0.9461  5 Er 2.30-2.41
O: 0.2342 0.7500 0.7065  2 H 1.74
O: 0.2658 0.2500 0.2065  2 H 1.74
O: 0.3780 0.7500 0.4461  5 Er 2.30-2.41
O: 0.4609 0.2500 0.8769  1 H 2.18, 3 Er 2.26-2.33
O: 0.5391 0.7500 0.1231  1 H 2.18, 3 Er 2.26-2.33
O: 0.6220 0.2500 0.5539  5 Er 2.30-2.41
O: 0.7342 0.7500 0.7935  2 H 1.74
O: 0.7658 0.2500 0.2935  2 H 1.74
O: 0.8780 0.7500 0.0539  5 Er 2.30-2.41
O: 0.9609 0.2500 0.6231  1 H 2.18, 3 Er 2.26-2.33

Entry 3:
## ErHO (PBE)

Data for ErHO after structural relaxation.

ΔE to the lowest computed polymorph = 309 meV/atom

Cell lengths 3.5233, 3.5233, 5.0659 Å; angles 90.00, 90.00, 120.00 degrees
With the nearest neighbours (Å) after each atom.
Fractional positions:
Er: 0.0000 0.0000 0.0000  3 O 2.15, 3 H 2.34
H: 0.6667 0.3333 0.2295  3 Er 2.34
O: 0.3333 0.6667 0.8623  3 Er 2.15

Entry 4:
## ErHO (PBE)

Data for ErHO after structural relaxation.

ΔE to the lowest computed polymorph = 0 meV/atom

Cell lengths 3.7041, 3.7041, 3.7041 Å; angles 60.00, 60.00, 60.00 degrees
With the nearest neighbours (Å) after each atom.
Fractional positions:
Er: 0.0000 0.0000 0.0000  4 O 2.27, 4 H 2.27
H: 0.2500 0.2500 0.2500  4 Er 2.27
O: 0.7500 0.7500 0.7500  4 Er 2.27

Entry 5:
## Er2HO (PBE)

Data for Er2HO after structural relaxation.

calculated total energy = -0.4334 Ry/atom

Cell lengths 5.9247, 5.9247, 5.9247 Å; angles 33.58, 33.58, 33.58 degrees
With the nearest neighbours (Å) after each atom.
Fractional positions:
Er: 0.2471 0.2471 0.2471  3 O 2.39, 3 H 2.45
Er: 0.7529 0.7529 0.7529  3 O 2.39, 3 H 2.45
H: 0.0000 0.0000 0.0000  6 Er 2.45
O: 0.5000 0.5000 0.5000  6 Er 2.39

Entry 6:
## ErHO (PBE)

Data for ErHO after structural relaxation.

ΔE to the lowest computed polymorph = 21 meV/atom

Cell lengths 3.2647, 3.2647, 5.9095 Å; angles 90.00, 90.00, 90.00 degrees
With the nearest neighbours (Å) after each atom.
Fractional positions:
Er: 0.2500 0.2500 0.2409  4 H 2.24, 5 O 2.30-2.37
Er: 0.7500 0.7500 0.7591  4 H 2.24, 5 O 2.30-2.37
H: 0.2500 0.7500 0.5000  4 Er 2.24, 4 H 2.31
H: 0.7500 0.2500 0.5000  4 Er 2.24, 4 H 2.31
O: 0.2500 0.2500 0.8519  5 Er 2.30-2.37
O: 0.7500 0.7500 0.1481  5 Er 2.30-2.37

Entry 7:
## ErP4HO12 (PBE)

Data for ErP4HO12 after structural relaxation.

calculated total energy = -0.5345 Ry/atom

Cell lengths 13.7977, 7.2363, 9.7807 Å; angles 90.00, 101.76, 90.00 degrees
With the nearest neighbours (Å) after each atom.
Fractional positions:
Er: 0.2307 0.0583 0.0588  7 O 2.25-2.48
Er: 0.2307 0.4417 0.5588  7 O 2.25-2.48
Er: 0.7693 0.5583 0.4412  7 O 2.25-2.48
Er: 0.7693 0.9417 0.9412  7 O 2.25-2.48
P: 0.0930 0.1101 0.7148  4 O 1.49-1.62
P: 0.0930 0.3899 0.2148  4 O 1.49-1.62
P: 0.1151 0.7196 0.7881  4 O 1.50-1.60
P: 0.1151 0.7804 0.2881  4 O 1.50-1.60
P: 0.3961 0.1490 0.8084  4 O 1.49-1.63
P: 0.3961 0.3510 0.3084  4 O 1.49-1.63
P: 0.4014 0.6845 0.1286  4 O 1.49-1.59
P: 0.4014 0.8155 0.6286  4 O 1.49-1.59
P: 0.5986 0.1845 0.3714  4 O 1.49-1.59
P: 0.5986 0.3155 0.8714  4 O 1.49-1.59
P: 0.6039 0.6490 0.6916  4 O 1.49-1.63
P: 0.6039 0.8510 0.1916  4 O 1.49-1.63
P: 0.8849 0.2196 0.7119  4 O 1.50-1.60
P: 0.8849 0.2804 0.2119  4 O 1.50-1.60
P: 0.9070 0.6101 0.7852  4 O 1.49-1.62
P: 0.9070 0.8899 0.2852  4 O 1.49-1.62
H: 0.2890 0.6480 0.9469  1 O 1.03
H: 0.2890 0.8520 0.4469  1 O 1.03
H: 0.7110 0.1480 0.5531  1 O 1.03
H: 0.7110 0.3520 0.0531  1 O 1.03
O: 0.0180 0.6785 0.8496  2 P 1.60-1.61
O: 0.0180 0.8215 0.3496  2 P 1.60-1.61
O: 0.0832 0.6095 0.1844  2 P 1.60-1.62
O: 0.0832 0.8905 0.6844  2 P 1.60-1.62
O: 0.1178 0.1423 0.8696  1 P 1.50
O: 0.1178 0.3577 0.3696  1 P 1.50
O: 0.1377 0.5617 0.7007  1 P 1.50
O: 0.1377 0.9383 0.2007  1 P 1.50
O: 0.1581 0.1858 0.6238  1 P 1.49
O: 0.1581 0.3142 0.1238  1 P 1.49
O: 0.1940 0.7236 0.4126  1 P 1.52, 1 H 1.59
O: 0.1940 0.7764 0.9126  1 P 1.52, 1 H 1.59
O: 0.3360 0.0857 0.9099  1 P 1.49
O: 0.3360 0.4143 0.4099  1 P 1.49
O: 0.3364 0.6730 0.6732  1 P 1.49
O: 0.3364 0.8270 0.1732  1 P 1.49
O: 0.3541 0.5829 0.9914  1 H 1.03
O: 0.3541 0.9171 0.4914  1 H 1.03
O: 0.3550 0.2200 0.1939  1 P 1.49
O: 0.3550 0.2800 0.6939  1 P 1.49
O: 0.4405 0.5323 0.2431  2 P 1.59-1.63
O: 0.4405 0.9677 0.7431  2 P 1.59-1.63
O: 0.4979 0.2315 0.9002  2 P 1.59-1.62
O: 0.4979 0.2685 0.4002  2 P 1.59-1.62
O: 0.5021 0.7315 0.5998  2 P 1.59-1.62
O: 0.5021 0.7685 0.0998  2 P 1.59-1.62
O: 0.5595 0.0323 0.2569  2 P 1.59-1.63
O: 0.5595 0.4677 0.7569  2 P 1.59-1.63
O: 0.6450 0.7200 0.3061  1 P 1.49
O: 0.6450 0.7800 0.8061  1 P 1.49
O: 0.6459 0.0829 0.5086  1 H 1.03
O: 0.6459 0.4171 0.0086  1 H 1.03
O: 0.6636 0.1730 0.8268  1 P 1.49
O: 0.6636 0.3270 0.3268  1 P 1.49
O: 0.6640 0.5857 0.5901  1 P 1.49
O: 0.6640 0.9143 0.0901  1 P 1.49
O: 0.8060 0.2236 0.0874  1 P 1.52, 1 H 1.59
O: 0.8060 0.2764 0.5874  1 P 1.52, 1 H 1.59
O: 0.8419 0.6858 0.8762  1 P 1.49
O: 0.8419 0.8142 0.3762  1 P 1.49
O: 0.8623 0.0617 0.7993  1 P 1.50
O: 0.8623 0.4383 0.2993  1 P 1.50
O: 0.8822 0.6423 0.6304  1 P 1.50
O: 0.8822 0.8577 0.1304  1 P 1.50
O: 0.9168 0.1095 0.3156  2 P 1.60-1.62
O: 0.9168 0.3905 0.8156  2 P 1.60-1.62
O: 0.9820 0.1785 0.6504  2 P 1.60-1.61
O: 0.9820 0.3215 0.1504  2 P 1.60-1.61

Entry 8:
## Er2HPbO (PBE)

Data for Er2HPbO after structural relaxation.

calculated total energy = -0.4302 Ry/atom

Cell lengths 7.0572, 7.0572, 7.0572 Å; angles 149.33, 149.33, 43.93 degrees
With the nearest neighbours (Å) after each atom.
Fractional positions:
Er: 0.1565 0.1565 0.0000  2 O 2.23, 2 H 2.23
Er: 0.8435 0.8435 0.0000  2 O 2.23, 2 H 2.23
H: 0.2500 0.7500 0.5000  4 Er 2.23
Pb: 0.5000 0.5000 0.0000  8 Er 3.34, 4 Pb 3.73
O: 0.7500 0.2500 0.5000  4 Er 2.23

Entry 9:
## Er2H16S3O20 (PBE)

Data for Er2H16S3O20 after structural relaxation.

calculated total energy = -0.4239 Ry/atom

Cell lengths 7.5298, 7.5298, 18.2479 Å; angles 101.24, 101.24, 52.90 degrees
With the nearest neighbours (Å) after each atom.
Fractional positions:
Er: 0.1458 0.1914 0.3927  8 O 2.27-2.49
Er: 0.1914 0.1458 0.8927  8 O 2.27-2.49
Er: 0.8086 0.8542 0.1073  8 O 2.27-2.49
Er: 0.8542 0.8086 0.6073  8 O 2.27-2.49
H: 0.0423 0.8554 0.3518  1 O 1.00
H: 0.1446 0.9577 0.1482  1 O 1.00
H: 0.1655 0.8144 0.9560  1 O 0.98
H: 0.1856 0.8345 0.5440  1 O 0.98
H: 0.2045 0.2460 0.2457  1 O 0.99
H: 0.2075 0.5024 0.9826  1 O 0.99
H: 0.2460 0.2045 0.7457  1 O 0.99
H: 0.2834 0.6975 0.1595  1 O 0.99
H: 0.2898 0.4613 0.4927  1 O 0.99
H: 0.2949 0.3639 0.8035  1 O 0.99
H: 0.3025 0.7166 0.3405  1 O 0.99
H: 0.3184 0.6645 0.6061  1 O 1.00
H: 0.3355 0.6816 0.8939  1 O 1.00
H: 0.3639 0.2949 0.3035  1 O 0.99
H: 0.4613 0.2898 0.9927  1 O 0.99
H: 0.4976 0.7925 0.5174  1 O 0.99
H: 0.5024 0.2075 0.4826  1 O 0.99
H: 0.5387 0.7102 0.0073  1 O 0.99
H: 0.6361 0.7051 0.6965  1 O 0.99
H: 0.6645 0.3184 0.1061  1 O 1.00
H: 0.6816 0.3355 0.3939  1 O 1.00
H: 0.6975 0.2834 0.6595  1 O 0.99
H: 0.7051 0.6361 0.1965  1 O 0.99
H: 0.7102 0.5387 0.5073  1 O 0.99
H: 0.7166 0.3025 0.8405  1 O 0.99
H: 0.7540 0.7955 0.2543  1 O 0.99
H: 0.7925 0.4976 0.0174  1 O 0.99
H: 0.7955 0.7540 0.7543  1 O 0.99
H: 0.8144 0.1655 0.4560  1 O 0.98
H: 0.8345 0.1856 0.0440  1 O 0.98
H: 0.8554 0.0423 0.8518  1 O 1.00
H: 0.9577 0.1446 0.6482  1 O 1.00
S: 0.1889 0.2460 0.0905  4 O 1.48-1.52
S: 0.2460 0.1889 0.5905  4 O 1.48-1.52
S: 0.3272 0.6728 0.7500  4 O 1.48-1.50
S: 0.6728 0.3272 0.2500  4 O 1.48-1.50
S: 0.7540 0.8111 0.4095  4 O 1.48-1.52
S: 0.8111 0.7540 0.9095  4 O 1.48-1.52
O: 0.0665 0.2225 0.0167  1 S 1.52
O: 0.0902 0.4309 0.5821  1 S 1.48
O: 0.1141 0.7149 0.7119  1 S 1.48
O: 0.1204 0.4791 0.1047  1 S 1.48
O: 0.1292 0.1920 0.1512  1 S 1.48
O: 0.1367 0.8279 0.1408  2 H 0.99-1.00
O: 0.1721 0.8633 0.3592  2 H 0.99-1.00
O: 0.1920 0.1292 0.6512  1 S 1.48
O: 0.1975 0.7145 0.5636  2 H 0.98-1.00
O: 0.2225 0.0665 0.5167  1 S 1.52
O: 0.2530 0.2605 0.7993  2 H 0.99
O: 0.2605 0.2530 0.2993  2 H 0.99
O: 0.2855 0.8025 0.9364  2 H 0.98-1.00
O: 0.2851 0.8859 0.7881  1 S 1.48
O: 0.3235 0.3573 0.9575  2 H 0.99
O: 0.3573 0.3235 0.4575  2 H 0.99
O: 0.4203 0.5113 0.8073  1 S 1.50
O: 0.4309 0.0902 0.0821  1 S 1.48
O: 0.4791 0.1204 0.6047  1 S 1.48
O: 0.4887 0.5797 0.6927  1 S 1.50
O: 0.5113 0.4203 0.3073  1 S 1.50
O: 0.5209 0.8796 0.3953  1 S 1.48
O: 0.5691 0.9098 0.9179  1 S 1.48
O: 0.5797 0.4887 0.1927  1 S 1.50
O: 0.6427 0.6765 0.5425  2 H 0.99
O: 0.6765 0.6427 0.0425  2 H 0.99
O: 0.7149 0.1141 0.2119  1 S 1.48
O: 0.7145 0.1975 0.0636  2 H 0.98-1.00
O: 0.7395 0.7470 0.7007  2 H 0.99
O: 0.7470 0.7395 0.2007  2 H 0.99
O: 0.7775 0.9335 0.4833  1 S 1.52
O: 0.8025 0.2855 0.4364  2 H 0.98-1.00
O: 0.8080 0.8708 0.3488  1 S 1.48
O: 0.8279 0.1367 0.6408  2 H 0.99-1.00
O: 0.8633 0.1721 0.8592  2 H 0.99-1.00
O: 0.8708 0.8080 0.8488  1 S 1.48
O: 0.8796 0.5209 0.8953  1 S 1.48
O: 0.8859 0.2851 0.2881  1 S 1.48
O: 0.9098 0.5691 0.4179  1 S 1.48
O: 0.9335 0.7775 0.9833  1 S 1.52

Entry 10:
## Er2HOs (PBE)

Data for Er2HOs after structural relaxation.

ΔE to the lowest computed polymorph = 46 meV/atom

Cell lengths 7.1825, 7.1825, 7.1825 Å; angles 28.14, 28.14, 28.14 degrees
With the nearest neighbours (Å) after each atom.
Fractional positions:
Er: 0.2395 0.2395 0.2395  3 H 2.52, 3 Os 2.80
Er: 0.7605 0.7605 0.7605  3 H 2.52, 3 Os 2.80
H: 0.5000 0.5000 0.5000  6 Er 2.52
Os: 0.0000 0.0000 0.0000  6 Er 2.80

Entry 11:
## Er2HOs (PBE)

Data for Er2HOs after structural relaxation.

ΔE to the lowest computed polymorph = 0 meV/atom

Cell lengths 3.2519, 3.2519, 7.0505 Å; angles 90.00, 90.00, 90.00 degrees
With the nearest neighbours (Å) after each atom.
Fractional positions:
Er: 0.0000 0.0000 0.2409  4 Os 2.86, 4 H 2.94
Er: 0.0000 0.0000 0.7591  4 Os 2.86, 4 H 2.94
H: 0.5000 0.5000 0.5000  8 Er 2.94, 4 H 3.25
Os: 0.5000 0.5000 0.0000  8 Er 2.86

Entry 12:
## ErH6Os (PBE)

Data for ErH6Os after structural relaxation.

calculated total energy = -0.3415 Ry/atom

Cell lengths 4.5850, 4.5850, 4.5850 Å; angles 57.77, 57.77, 57.77 degrees
With the nearest neighbours (Å) after each atom.
Fractional positions:
Er: 0.0000 0.0000 0.0000  12 H 2.42
H: 0.0485 0.6030 0.6030  1 Os 1.70
H: 0.3970 0.3970 0.9515  1 Os 1.70
H: 0.3970 0.9515 0.3970  1 Os 1.70
H: 0.6030 0.0485 0.6030  1 Os 1.70
H: 0.6030 0.6030 0.0485  1 Os 1.70
H: 0.9515 0.3970 0.3970  1 Os 1.70
Os: 0.5000 0.5000 0.5000  6 H 1.70

Entry 13:
## ErH4Os (PBE)

Data for ErH4Os after structural relaxation.

calculated total energy = -0.3613 Ry/atom

Cell lengths 4.5626, 4.5626, 4.5626 Å; angles 111.00, 111.00, 106.45 degrees
With the nearest neighbours (Å) after each atom.
Fractional positions:
Er: 0.0000 0.0000 0.0000  8 H 2.28
H: 0.0137 0.5137 0.0274  1 Os 1.73
H: 0.0137 0.9863 0.5000  1 Os 1.73
H: 0.4863 0.5137 0.5000  1 Os 1.73
H: 0.4863 0.9863 0.9726  1 Os 1.73
Os: 0.2500 0.7500 0.5000  4 H 1.73

Entry 14:
## ErH3Os (PBE)

Data for ErH3Os after structural relaxation.

calculated total energy = -0.3993 Ry/atom

Cell lengths 3.6481, 3.6481, 3.6481 Å; angles 90.00, 90.00, 90.00 degrees
With the nearest neighbours (Å) after each atom.
Fractional positions:
Er: 0.0000 0.0000 0.0000  12 H 2.58
H: 0.0000 0.5000 0.5000  2 Os 1.82
H: 0.5000 0.0000 0.5000  2 Os 1.82
H: 0.5000 0.5000 0.0000  2 Os 1.82
Os: 0.5000 0.5000 0.5000  6 H 1.82

Entry 15:
## ErPHOs (PBE)

Data for ErPHOs after structural relaxation.

calculated total energy = -0.5077 Ry/atom

Cell lengths 4.0179, 4.0179, 7.0106 Å; angles 90.00, 90.00, 90.00 degrees
With the nearest neighbours (Å) after each atom.
Fractional positions:
Er: 0.2500 0.2500 0.1598  4 H 2.30
Er: 0.7500 0.7500 0.8402  4 H 2.30
P: 0.2500 0.2500 0.6776  4 Os 2.36
P: 0.7500 0.7500 0.3224  4 Os 2.36
H: 0.2500 0.7500 0.0000  4 Er 2.30
H: 0.7500 0.2500 0.0000  4 Er 2.30
Os: 0.2500 0.7500 0.5000  4 P 2.36
Os: 0.7500 0.2500 0.5000  4 P 2.36